Entry 1:
Entry from Alexandria: a PBEsol-optimized structure of CaLa2Ag (meta-GGA SCAN). Values from VASP.

Output
Its density is 5.89 g cm⁻³. The space group is Immm. The volume is 120.11 Å³ per cell. The formation energy is -0.107 eV per atom. Its magnetic moment is 0.2 μB/cell. The value obtained for the energy above the most stable polymorph in this dataset is 0.0 meV per atom. The raw total energy is -2.3459 Ry per atom.

Cell and atoms, written as Quantum ESPRESSO input:
```
&SYSTEM
  ibrav = 0, nat = 4, ntyp = 3
/
ATOMIC_SPECIES
Ca 40.08 Ca.upf
La 138.91 La.upf
Ag 107.87 Ag.upf
ATOMIC_POSITIONS crystal
Ca 0.000 0.000 0.000
La 0.287 0.787 0.500
La 0.713 0.213 0.500
Ag 0.500 0.500 0.000
CELL_PARAMETERS angstrom
-1.793 2.737 6.116
1.793 -2.737 6.116
1.793 2.737 -6.116
```


Entry 2:
Entry from Alexandria: a PBEsol-optimized structure of Pm3Sm (meta-GGA SCAN). Values from VASP.

Output
Its density is 7.57 g cm⁻³. The space group is P6_3/mmc. The volume is 256.88 Å³ per cell. The formation energy is 0.027 eV per atom. Its magnetic moment is 0.0 μB/cell. The value obtained for the energy above the most stable polymorph in this dataset is 16.4 meV per atom. The raw total energy is -3.2393 Ry per atom.

Cell and atoms, written as Quantum ESPRESSO input:
```
&SYSTEM
  ibrav = 0, nat = 8, ntyp = 2
/
ATOMIC_SPECIES
Pm 145.00 Pm.upf
Sm 150.36 Sm.upf
ATOMIC_POSITIONS crystal
Pm 0.167 0.333 0.250
Pm 0.167 0.833 0.250
Pm 0.333 0.167 0.750
Pm 0.667 0.833 0.250
Pm 0.833 0.167 0.750
Pm 0.833 0.667 0.750
Sm 0.333 0.667 0.750
Sm 0.667 0.333 0.250
CELL_PARAMETERS angstrom
7.162 0.000 0.000
-3.581 6.202 0.000
0.000 0.000 5.783
```